#1
# Dy4YTm7, optimized geometry, DFT PBE
data_Dy4YTm7
_chemical_formula_sum 'Dy8 Y2 Tm14'
_space_group_name_H-M_alt 'C 1 2/m 1'
_space_group_IT_number 12
_cell_length_a 12.004
_cell_length_b 5.787
_cell_length_c 12.560
_cell_angle_alpha 90.00
_cell_angle_beta 118.40
_cell_angle_gamma 90.00
loop_
_space_group_symop_operation_xyz
'x,y,z'
'-x,-y,-z'
'-x,y,-z'
'x,-y,z'
'x+1/2,y+1/2,z'
'-x+1/2,-y+1/2,-z'
'-x+1/2,y+1/2,-z'
'x+1/2,-y+1/2,z'
loop_
_atom_site_label
_atom_site_type_symbol
_atom_site_fract_x
_atom_site_fract_y
_atom_site_fract_z
_atom_site_occupancy
Dy1 Dy 0.135 0.000 0.275 1
Dy2 Dy 0.246 0.500 0.181 1
Y1 Y 0.000 0.500 0.500 1
Tm1 Tm 0.000 0.000 0.500 1
Tm2 Tm 0.060 0.500 0.824 1
Tm3 Tm 0.135 0.000 0.001 1
Tm4 Tm 0.213 0.500 0.424 1
# - density of states at the Fermi level (states/eV per cell) = 40.0
# - spin magnetization (μB/f.u.) = 0.51

#2
# Dy4YTm7, optimized geometry, DFT PBE
data_Dy4YTm7
_chemical_formula_sum 'Dy4 Y1 Tm7'
_space_group_name_H-M_alt 'P -1'
_space_group_IT_number 2
_cell_length_a 6.463
_cell_length_b 6.744
_cell_length_c 8.896
_cell_angle_alpha 84.77
_cell_angle_beta 76.86
_cell_angle_gamma 81.02
loop_
_space_group_symop_operation_xyz
'x,y,z'
'-x,-y,-z'
loop_
_atom_site_label
_atom_site_type_symbol
_atom_site_fract_x
_atom_site_fract_y
_atom_site_fract_z
_atom_site_occupancy
Dy1 Dy 0.138 0.304 0.288 1
Dy2 Dy 0.336 0.884 0.689 1
Y1 Y 0.500 0.500 0.000 1
Tm1 Tm 0.016 0.251 0.951 1
Tm2 Tm 0.182 0.794 0.356 1
Tm3 Tm 0.312 0.393 0.614 1
Tm4 Tm 0.500 0.000 0.000 1
# - density of states at the Fermi level (states/eV per cell) = 20.7
# - spin magnetization (μB/f.u.) = 0.00

We find #2 to be the most stable, with the next structure 0.207 eV/atom higher.

#1
# Dy8YTm2, optimized geometry, DFT PBE
data_Dy8YTm2
_chemical_formula_sum 'Dy16 Y2 Tm4'
_space_group_name_H-M_alt 'A m m 2'
_space_group_IT_number 38
_cell_length_a 5.362
_cell_length_b 13.186
_cell_length_c 10.153
_cell_angle_alpha 90.00
_cell_angle_beta 90.00
_cell_angle_gamma 90.00
loop_
_space_group_symop_operation_xyz
'x,y,z'
'-x,-y,z'
'-x,y,z'
'x,-y,z'
'x,y+1/2,z+1/2'
'-x,-y+1/2,z+1/2'
'-x,y+1/2,z+1/2'
'x,-y+1/2,z+1/2'
loop_
_atom_site_label
_atom_site_type_symbol
_atom_site_fract_x
_atom_site_fract_y
_atom_site_fract_z
_atom_site_occupancy
Dy1 Dy 0.000 0.000 0.000 1
Dy2 Dy 0.000 0.000 0.328 1
Dy3 Dy 0.000 0.246 0.163 1
Dy4 Dy 0.500 0.136 0.499 1
Dy5 Dy 0.500 0.136 0.829 1
Y1 Y 0.000 0.000 0.664 1
Tm1 Tm 0.500 0.119 0.164 1
# - density of states at the Fermi level (states/eV per cell) = 37.4
# - spin magnetization (μB/f.u.) = 0.00

#2
# Dy8YTm2, optimized geometry, DFT PBE
data_Dy8YTm2
_chemical_formula_sum 'Dy16 Y2 Tm4'
_space_group_name_H-M_alt 'C 1 2/m 1'
_space_group_IT_number 12
_cell_length_a 9.048
_cell_length_b 16.507
_cell_length_c 5.886
_cell_angle_alpha 90.00
_cell_angle_beta 126.79
_cell_angle_gamma 90.00
loop_
_space_group_symop_operation_xyz
'x,y,z'
'-x,-y,-z'
'-x,y,-z'
'x,-y,z'
'x+1/2,y+1/2,z'
'-x+1/2,-y+1/2,-z'
'-x+1/2,y+1/2,-z'
'x+1/2,-y+1/2,z'
loop_
_atom_site_label
_atom_site_type_symbol
_atom_site_fract_x
_atom_site_fract_y
_atom_site_fract_z
_atom_site_occupancy
Dy1 Dy 0.000 0.204 0.000 1
Dy2 Dy 0.053 0.500 0.786 1
Dy3 Dy 0.221 0.125 0.699 1
Y1 Y 0.000 0.000 0.000 1
Tm1 Tm 0.000 0.311 0.500 1
# - density of states at the Fermi level (states/eV per cell) = 28.4
# - spin magnetization (μB/f.u.) = 0.00

We find #2 to be the most stable, with the next structure 0.032 eV/atom higher.

#1
# Dy4Y5Tm2, optimized geometry, DFT PBE
data_Dy4Y5Tm2
_chemical_formula_sum 'Dy4 Y5 Tm2'
_space_group_name_H-M_alt 'P -1'
_space_group_IT_number 2
_cell_length_a 3.540
_cell_length_b 8.686
_cell_length_c 11.763
_cell_angle_alpha 75.81
_cell_angle_beta 81.41
_cell_angle_gamma 89.96
loop_
_space_group_symop_operation_xyz
'x,y,z'
'-x,-y,-z'
loop_
_atom_site_label
_atom_site_type_symbol
_atom_site_fract_x
_atom_site_fract_y
_atom_site_fract_z
_atom_site_occupancy
Dy1 Dy 0.046 0.365 0.409 1
Dy2 Dy 0.319 0.546 0.863 1
Y1 Y 0.136 0.090 0.227 1
Y2 Y 0.226 0.817 0.048 1
Y3 Y 0.500 0.000 0.500 1
Tm1 Tm 0.410 0.275 0.680 1
# - density of states at the Fermi level (states/eV per cell) = 15.4
# - spin magnetization (μB/f.u.) = 0.00

#2
# Dy4Y5Tm2, optimized geometry, DFT PBE
data_Dy4Y5Tm2
_chemical_formula_sum 'Dy8 Y10 Tm4'
_space_group_name_H-M_alt 'C 1 2/m 1'
_space_group_IT_number 12
_cell_length_a 10.964
_cell_length_b 7.406
_cell_length_c 9.106
_cell_angle_alpha 90.00
_cell_angle_beta 106.49
_cell_angle_gamma 90.00
loop_
_space_group_symop_operation_xyz
'x,y,z'
'-x,-y,-z'
'-x,y,-z'
'x,-y,z'
'x+1/2,y+1/2,z'
'-x+1/2,-y+1/2,-z'
'-x+1/2,y+1/2,-z'
'x+1/2,-y+1/2,z'
loop_
_atom_site_label
_atom_site_type_symbol
_atom_site_fract_x
_atom_site_fract_y
_atom_site_fract_z
_atom_site_occupancy
Dy1 Dy 0.170 0.000 0.121 1
Dy2 Dy 0.182 0.000 0.499 1
Y1 Y 0.000 0.500 0.500 1
Y2 Y 0.070 0.221 0.781 1
Tm1 Tm 0.144 0.500 0.121 1
# - density of states at the Fermi level (states/eV per cell) = 37.6
# - spin magnetization (μB/f.u.) = 0.00

We find #1 to be the most stable, with the next structure 0.116 eV/atom higher.